[1]
A relaxed Li2YNpO6 crystal, computed with GGA-PBE.

Lattice parameters (Å, degrees): 6.0382 6.0382 6.0382 52.80 52.80 52.80
With the nearest neighbours (Å) after each atom.
Fractional coordinates of all 10 atoms:
Li 0.2018 0.2018 0.2018  3 O 2.02
Li 0.7982 0.7982 0.7982  3 O 2.02
Y 0.0000 0.0000 0.0000  6 O 2.29
Np 0.5000 0.5000 0.5000  6 O 2.03
O 0.1259 0.7536 0.4042  1 Li 2.02, 1 Np 2.03
O 0.2464 0.5958 0.8741  1 Li 2.02, 1 Np 2.03
O 0.4042 0.1259 0.7536  1 Li 2.02, 1 Np 2.03
O 0.5958 0.8741 0.2464  1 Li 2.02, 1 Np 2.03
O 0.7536 0.4042 0.1259  1 Li 2.02, 1 Np 2.03
O 0.8741 0.2464 0.5958  1 Li 2.02, 1 Np 2.03

Summary:
- space group = R-3, No. 148
- E_form (uncorrected) (eV per formula unit) = -26.95

***

[2]
A relaxed LiNpZn2O8 crystal, computed with GGA-PBE.

Lattice parameters (Å, degrees): 6.0000 6.0000 6.0000 115.85 115.85 97.35
With the nearest neighbours (Å) after each atom.
Fractional coordinates of all 12 atoms:
Li 0.0000 0.0000 0.0000  8 O 2.42-2.64
Np 0.2500 0.7500 0.5000  4 O 1.97
Zn 0.5000 0.5000 0.0000  4 O 2.05
Zn 0.7500 0.2500 0.5000  4 O 1.92
O 0.2938 0.0986 0.8047  1 Np 1.97, 1 Zn 2.05
O 0.2938 0.4891 0.1953  1 Np 1.97, 1 Zn 2.05
O 0.4069 0.0291 0.3779  1 O 1.56
O 0.5109 0.7062 0.8047  1 Np 1.97, 1 Zn 2.05
O 0.6512 0.0291 0.6221  1 O 1.56
O 0.9014 0.7062 0.1953  1 Np 1.97, 1 Zn 2.05
O 0.9709 0.3488 0.3779  1 O 1.56
O 0.9709 0.5931 0.6221  1 O 1.56

Summary:
- space group = I-4m2, No. 119
- E_form (uncorrected) (eV per formula unit) = -15.27

***

[3]
A relaxed LiNpZn2O6 crystal, computed with GGA-PBE.

Lattice parameters (Å, degrees): 5.3154 5.3164 5.7264 62.41 62.35 60.02
With the nearest neighbours (Å) after each atom.
Fractional coordinates of all 10 atoms:
Li 0.0000 0.0000 0.0000  6 O 2.11-2.29
Np 0.4881 0.4879 0.5359  6 O 2.03-2.04
Zn 0.2797 0.2788 0.1615  3 O 2.01
Zn 0.7902 0.7899 0.6304  4 O 2.04-2.28
O 0.1024 0.4007 0.7985  1 Np 2.03, 1 Zn 2.04, 1 Li 2.11
O 0.2237 0.8782 0.3158  1 Zn 2.01, 1 Np 2.04
O 0.4010 0.6989 0.7980  1 Np 2.03, 1 Zn 2.04, 1 Li 2.11
O 0.5821 0.2240 0.3154  1 Zn 2.01, 1 Np 2.04
O 0.6984 0.1024 0.7987  1 Np 2.03, 1 Zn 2.04, 1 Li 2.11
O 0.8787 0.5816 0.3155  1 Zn 2.01, 1 Np 2.04

Summary:
- space group = P1, No. 1
- E_form (uncorrected) (eV per formula unit) = -19.49

***

[4]
A relaxed Li2NpZn2O6 crystal, computed with GGA-PBE.

Lattice parameters (Å, degrees): 5.3656 5.3656 5.4232 100.67 100.67 118.03
With the nearest neighbours (Å) after each atom.
Fractional coordinates of all 11 atoms:
Li 0.1996 0.8004 0.0000  4 O 2.07-2.21
Li 0.8004 0.1996 0.0000  4 O 2.07-2.21
Np 0.0000 0.0000 0.5000  6 O 2.06-2.11
Zn 0.3355 0.6645 0.5000  6 O 2.09-2.33
Zn 0.6645 0.3355 0.5000  6 O 2.09-2.33
O 0.0527 0.3918 0.7361  2 Li 2.07-2.21, 1 Zn 2.09, 1 Np 2.11
O 0.2453 0.2453 0.2902  1 Np 2.06, 2 Zn 2.10
O 0.3918 0.0527 0.7361  2 Li 2.07-2.21, 1 Zn 2.09, 1 Np 2.11
O 0.6082 0.9473 0.2639  2 Li 2.07-2.21, 1 Zn 2.09, 1 Np 2.11
O 0.7547 0.7547 0.7098  1 Np 2.06, 2 Zn 2.10
O 0.9473 0.6082 0.2639  2 Li 2.07-2.21, 1 Zn 2.09, 1 Np 2.11

Summary:
- space group = C2/m, No. 12
- E_form (uncorrected) (eV per formula unit) = -22.23

***

[5]
A relaxed LiNpZnO4 crystal, computed with GGA-PBE.

Lattice parameters (Å, degrees): 6.2233 6.2233 6.2233 120.32 112.17 96.77
With the nearest neighbours (Å) after each atom.
Fractional coordinates of all 14 atoms:
Li 0.5000 0.0000 0.0000  2 O 2.02
Li 0.5000 0.5000 0.5000  2 O 2.02
Np 0.0000 0.0000 0.0000  2 O 2.00
Np 0.5000 0.0000 0.5000  2 O 2.00
Zn 0.1248 0.3748 0.7500  4 O 1.99-2.05
Zn 0.8752 0.6252 0.2500  4 O 1.99-2.05
O 0.2411 0.2415 0.9996  1 Np 2.00, 1 Zn 2.05
O 0.2560 0.2357 0.4797  1 Zn 1.99, 1 Li 2.02
O 0.2560 0.7763 0.0203  1 Zn 1.99, 1 Li 2.02
O 0.2580 0.7585 0.4996  1 Np 2.00, 1 Zn 2.05
O 0.7420 0.2415 0.5004  1 Np 2.00, 1 Zn 2.05
O 0.7440 0.2237 0.9797  1 Zn 1.99, 1 Li 2.02
O 0.7440 0.7643 0.5203  1 Zn 1.99, 1 Li 2.02
O 0.7589 0.7585 0.0004  1 Np 2.00, 1 Zn 2.05

Summary:
- DOS at the Fermi energy (states/eV per atom) = 0.314
- space group = Imma, No. 74
- E_form (uncorrected) (eV per formula unit) = -16.05

***

[6]
A relaxed LiNp2ZnO8 crystal, computed with GGA-PBE.

Lattice parameters (Å, degrees): 6.3614 6.3614 6.3614 132.19 132.19 69.93
With the nearest neighbours (Å) after each atom.
Fractional coordinates of all 12 atoms:
Li 0.0000 0.0000 0.0000  4 O 2.04
Np 0.2500 0.7500 0.5000  8 O 2.11-2.29
Np 0.5000 0.5000 0.0000  4 O 2.06
Zn 0.7500 0.2500 0.5000  4 O 1.97
O 0.1095 0.1313 0.5715  1 Zn 1.97, 1 Np 2.11
O 0.2045 0.7081 0.0840  1 Li 2.04, 1 Np 2.06
O 0.2919 0.3759 0.4964  1 Li 2.04, 1 Np 2.06
O 0.4620 0.8905 0.0218  1 Zn 1.97, 1 Np 2.11
O 0.5598 0.5380 0.4285  1 Zn 1.97, 1 Np 2.11
O 0.6241 0.1205 0.9160  1 Li 2.04, 1 Np 2.06
O 0.8687 0.4402 0.9782  1 Zn 1.97, 1 Np 2.11
O 0.8795 0.7955 0.5036  1 Li 2.04, 1 Np 2.06

Summary:
- DOS at the Fermi energy (states/eV per atom) = 0.586
- space group = I-4, No. 82
- E_form (uncorrected) (eV per formula unit) = -26.50

***

[7]
A relaxed LiNpOs2 crystal, computed with GGA-PBE.

Lattice parameters (Å, degrees): 4.1075 4.1075 3.7044 90.00 90.00 90.00
With the nearest neighbours (Å) after each atom.
Fractional coordinates of all 4 atoms:
Li 0.0000 0.0000 0.0000  8 Os 2.77, 4 Np 2.90
Np 0.5000 0.5000 0.0000  8 Os 2.77, 4 Li 2.90
Os 0.0000 0.5000 0.5000  4 Li 2.77, 4 Np 2.77, 4 Os 2.90
Os 0.5000 0.0000 0.5000  4 Li 2.77, 4 Np 2.77, 4 Os 2.90

Summary:
- DOS at the Fermi energy (states/eV per atom) = 1.374
- space group = P4/mmm, No. 123
- calculated formation energy (kJ/mol of atoms) = 16

***

[8]
A relaxed LiPmNpOs crystal, computed with GGA-PBE.

Lattice parameters (Å, degrees): 4.9313 4.9313 4.9313 60.00 60.00 60.00
With the nearest neighbours (Å) after each atom.
Fractional coordinates of all 4 atoms:
Li 0.0000 0.0000 0.0000  4 Pm 3.02, 4 Np 3.02
Pm 0.7500 0.7500 0.7500  4 Os 3.02, 4 Li 3.02
Np 0.2500 0.2500 0.2500  4 Os 3.02, 4 Li 3.02
Os 0.5000 0.5000 0.5000  4 Pm 3.02, 4 Np 3.02

Summary:
- DOS at the Fermi energy (states/eV per atom) = 2.518
- space group = F-43m, No. 216
- calculated formation energy (kJ/mol of atoms) = 19

***

no.,energy (hartree per atom)
1,-0.29376
2,-0.22154
3,-0.24489
4,-0.23819
5,-0.27304
6,-0.29166
7,-0.33663
8,-0.27611